1.
## Na3Hg4Au (PBE)

Data for a relaxed Na3Hg4Au crystal.

Values from the calculation:
Theoretical density = 8.0 g/cm3
Energy relative to the elements = -0.194 eV/atom
DOS(E_F) = 0.362 states/eV per atom
Relative energy among the computed polymorphs = 0.8 kJ per mole of atoms
Symmetry = Immm

```
data_Na3Hg4Au
_chemical_formula_sum 'Na3 Hg4 Au1'
_cell_length_a 4.7567
_cell_length_b 7.2380
_cell_length_c 7.7526
_cell_angle_alpha 117.83
_cell_angle_beta 107.87
_cell_angle_gamma 90.00
_space_group_name_H-M_alt 'P 1'
_space_group_IT_number 1
_space_group_name_Hall 'P 1'
loop_
_atom_site_label
_atom_site_fract_x
_atom_site_fract_y
_atom_site_fract_z
Hg1 0.6574 0.8693 0.3148
Hg2 0.3426 0.5544 0.6852
Na1 0.1355 0.1355 0.2711
Hg3 0.6574 0.4456 0.3148
Na2 0.0000 0.5000 0.0000
Na3 0.8645 0.8645 0.7289
Au1 0.5000 0.0000 0.0000
Hg4 0.3426 0.1307 0.6852
```

=====

2.
## Na2HgAu2 (PBE)

Data for a relaxed Na2HgAu2 crystal.

Values from the calculation:
Theoretical density = 7.7 g/cm3
Energy relative to the elements = -0.102 eV/atom
DOS(E_F) = 0.019 states/eV per atom
Relative energy among the computed polymorphs = 18.7 kJ per mole of atoms
Symmetry = I4/mmm

```
data_Na2HgAu2
_chemical_formula_sum 'Na2 Hg1 Au2'
_cell_length_a 4.6892
_cell_length_b 4.6892
_cell_length_c 7.0699
_cell_angle_alpha 70.63
_cell_angle_beta 70.63
_cell_angle_gamma 90.00
_space_group_name_H-M_alt 'P 1'
_space_group_IT_number 1
_space_group_name_Hall 'P 1'
loop_
_atom_site_label
_atom_site_fract_x
_atom_site_fract_y
_atom_site_fract_z
Hg1 0.0000 0.0000 0.0000
Au1 0.6093 0.6093 0.7814
Na1 0.2500 0.7500 0.5000
Na2 0.7500 0.2500 0.5000
Au2 0.3907 0.3907 0.2186
```

=====

3.
## Na3Hg6Au (PBE)

Data for a relaxed Na3Hg6Au crystal.

Values from the calculation:
Theoretical density = 8.8 g/cm3
Energy relative to the elements = -0.152 eV/atom
DOS(E_F) = 0.260 states/eV per atom
Relative energy among the computed polymorphs = 3.3 kJ per mole of atoms
Symmetry = C2/m

```
data_Na3Hg6Au
_chemical_formula_sum 'Na3 Hg6 Au1'
_cell_length_a 9.0512
_cell_length_b 6.6139
_cell_length_c 6.6139
_cell_angle_alpha 54.37
_cell_angle_beta 63.62
_cell_angle_gamma 63.62
_space_group_name_H-M_alt 'P 1'
_space_group_IT_number 1
_space_group_name_Hall 'P 1'
loop_
_atom_site_label
_atom_site_fract_x
_atom_site_fract_y
_atom_site_fract_z
Na1 0.2958 0.1529 0.1529
Hg1 0.3345 0.1340 0.6343
Hg2 0.3345 0.6343 0.1340
Hg3 0.6655 0.8660 0.3657
Hg4 0.6655 0.3657 0.8660
Hg5 0.1171 0.6971 0.6971
Na2 0.0000 0.0000 0.0000
Hg6 0.8829 0.3029 0.3029
Na3 0.7042 0.8471 0.8471
Au1 0.5000 0.5000 0.5000
```

=====

4.
## Na6HgAu2 (PBE)

Data for a relaxed Na6HgAu2 crystal.

Values from the calculation:
Theoretical density = 4.9 g/cm3
Energy relative to the elements = -0.238 eV/atom
DOS(E_F) = 0.305 states/eV per atom
Relative energy among the computed polymorphs = 0.0 kJ per mole of atoms
Symmetry = Immm

```
data_Na6HgAu2
_chemical_formula_sum 'Na12 Hg2 Au4'
_cell_length_a 8.6927
_cell_length_b 8.6927
_cell_length_c 8.6927
_cell_angle_alpha 100.60
_cell_angle_beta 114.58
_cell_angle_gamma 113.59
_space_group_name_H-M_alt 'P 1'
_space_group_IT_number 1
_space_group_name_Hall 'P 1'
loop_
_atom_site_label
_atom_site_fract_x
_atom_site_fract_y
_atom_site_fract_z
Au1 0.5000 0.3732 0.8732
Au2 0.3317 0.0000 0.3317
Na1 0.8011 0.2472 0.0484
Na2 0.1989 0.7528 0.9516
Na3 0.6955 0.3600 0.6645
Hg1 0.0000 0.5000 0.5000
Na4 0.3045 0.9690 0.6645
Hg2 0.0000 0.0000 0.0000
Na5 0.5237 0.7118 0.8119
Na6 0.8011 0.7528 0.5539
Na7 0.3045 0.6400 0.3355
Na8 0.4763 0.2882 0.1881
Na9 0.1002 0.2882 0.8119
Na10 0.8998 0.7118 0.1881
Na11 0.1989 0.2472 0.4461
Au3 0.6683 0.0000 0.6683
Au4 0.5000 0.6268 0.1268
Na12 0.6955 0.0310 0.3355
```

=====

5.
## NaHg7Au5 (PBE)

Data for a relaxed NaHg7Au5 crystal.

Values from the calculation:
Theoretical density = 13.5 g/cm3
Energy relative to the elements = -0.030 eV/atom
DOS(E_F) = 0.260 states/eV per atom
Symmetry = Cm

```
data_NaHg7Au5
_chemical_formula_sum 'Na1 Hg7 Au5'
_cell_length_a 5.6924
_cell_length_b 7.7474
_cell_length_c 7.7473
_cell_angle_alpha 86.80
_cell_angle_beta 69.01
_cell_angle_gamma 69.01
_space_group_name_H-M_alt 'P 1'
_space_group_IT_number 1
_space_group_name_Hall 'P 1'
loop_
_atom_site_label
_atom_site_fract_x
_atom_site_fract_y
_atom_site_fract_z
Au1 0.7370 0.7932 0.7932
Au2 0.5210 0.5301 0.9957
Hg1 0.0805 0.2304 0.2304
Au3 0.5210 0.9957 0.5301
Na1 0.0805 0.9469 0.9469
Hg2 0.5179 0.1953 0.8444
Hg3 0.5179 0.8444 0.1953
Hg4 0.5062 0.3358 0.3358
Au4 0.0340 0.5298 0.9760
Hg5 0.4388 0.6191 0.6191
Hg6 0.0055 0.6674 0.3358
Hg7 0.0055 0.3358 0.6674
Au5 0.0340 0.9760 0.5298
```

=====

6.
## Na4Hg5Au2 (PBE)

Data for a relaxed Na4Hg5Au2 crystal.

Values from the calculation:
Theoretical density = 9.2 g/cm3
Energy relative to the elements = -0.247 eV/atom
DOS(E_F) = 0.261 states/eV per atom
Symmetry = P2/m

```
data_Na4Hg5Au2
_chemical_formula_sum 'Na4 Hg5 Au2'
_cell_length_a 3.4110
_cell_length_b 7.8053
_cell_length_c 10.1434
_cell_angle_alpha 94.81
_cell_angle_beta 90.00
_cell_angle_gamma 90.00
_space_group_name_H-M_alt 'P 1'
_space_group_IT_number 1
_space_group_name_Hall 'P 1'
loop_
_atom_site_label
_atom_site_fract_x
_atom_site_fract_y
_atom_site_fract_z
Hg1 0.0000 0.4453 0.6874
Na1 0.5000 0.8264 0.1250
Au1 0.0000 0.9341 0.3647
Hg2 0.0000 0.5547 0.3126
Hg3 0.0000 0.8224 0.8424
Na2 0.5000 0.7486 0.5586
Na3 0.5000 0.1736 0.8750
Au2 0.0000 0.0659 0.6353
Hg4 0.0000 0.1776 0.1576
Hg5 0.0000 0.5000 0.0000
Na4 0.5000 0.2514 0.4414
```